No. 1
{
  "formula": "TaBiAsSe2",
  "functional": "meta-GGA SCAN",
  "state": "single point on PBEsol structure",
  "lattice": [[5.245, 0.000, 0.000], [0.000, 5.245, 0.000], [0.000, 0.000, 5.222]],
  "species": ["Ta", "Bi", "As", "Se", "Se"],
  "fractional_positions": [[0.000, 0.000, 0.000], [0.500, 0.500, 0.500], [0.500, 0.500, 0.000], [0.000, 0.500, 0.500], [0.500, 0.000, 0.500]],
  "final_energy_ev_per_atom": -39.5805,
  "mass_density_kg_m3": 7198,
  "formation_energy_uncorrected_ev_per_atom": 1.52
}


No. 2
{
  "formula": "SiBiAs2",
  "functional": "meta-GGA SCAN",
  "state": "single point on PBEsol structure",
  "lattice": [[0.000, 3.460, 3.460], [3.460, 0.000, 3.460], [3.460, 3.460, 0.000]],
  "species": ["Si", "Bi", "As", "As"],
  "fractional_positions": [[0.000, 0.000, 0.000], [0.500, 0.500, 0.500], [0.250, 0.250, 0.250], [0.750, 0.750, 0.750]],
  "final_energy_ev_per_atom": -31.6119,
  "mass_density_kg_m3": 7758,
  "formation_energy_uncorrected_ev_per_atom": 0.63
}


No. 3
{
  "formula": "SrSi2BiAs",
  "functional": "meta-GGA SCAN",
  "state": "single point on PBEsol structure",
  "lattice": [[4.861, 0.000, 0.000], [0.000, 4.861, 0.000], [0.000, 0.000, 5.680]],
  "species": ["Sr", "Si", "Si", "Bi", "As"],
  "fractional_positions": [[0.000, 0.000, 0.000], [0.000, 0.500, 0.500], [0.500, 0.000, 0.500], [0.500, 0.500, 0.000], [0.000, 0.000, 0.500]],
  "final_energy_ev_per_atom": -27.8550,
  "mass_density_kg_m3": 5292,
  "formation_energy_uncorrected_ev_per_atom": 0.36
}